Density functional theory data (PBE-GGA) for crystalline LiInTc2 at its relaxed geometry.

Computed properties:
Its energy of formation is 0.58 eV per atom. As for the total DFT energy (no corrections): -5.77 eV per atom. Its space group is No. 123.

Cell: 2.7044 2.7044 8.8739 Å, 90.00 90.00 90.00°
Sites, in units of the cell vectors:
Li (0.0000, 0.0000, 0.0000)
In (0.0000, 0.0000, 0.5000)
Tc (0.5000, 0.5000, 0.2451)
Tc (0.5000, 0.5000, 0.7549)